The following is a DFT calculation (PBE) of an optimized crystal structure of Pm2Dy3Ho8.

## Properties
As for the formation energy: 243 meV/atom. The relative energy among the computed polymorphs is 156 meV/atom.

Unit cell a=5.538 b=7.591 c=10.969 alpha=110.26 beta=90.00 gamma=90.00
Atoms (fractional coordinates):
Ho: 0.500 0.394 0.214
Ho: 0.500 0.606 0.786
Dy: 0.000 0.713 0.000
Ho: 0.500 0.820 0.214
Ho: 0.000 0.870 0.741
Dy: 0.500 0.000 0.000
Ho: 0.000 0.130 0.259
Pm: 0.500 0.759 0.518
Ho: 0.000 0.663 0.325
Pm: 0.500 0.241 0.482
Ho: 0.500 0.180 0.786
Ho: 0.000 0.337 0.675
Dy: 0.000 0.287 0.000

=====

The following is a DFT calculation (PBE) of an optimized crystal structure of UPd6Pt.

## Properties
As for the formation energy: -39 meV/atom. The relative energy among the computed polymorphs is 330 meV/atom.

Unit cell a=4.819 b=4.819 c=7.225 alpha=77.22 beta=77.22 gamma=67.21
Site moments in Bohr magnetons follow the coordinates.
Atoms (fractional coordinates):
Pd: 0.068 0.563 0.302  -0.06
Pd: 0.563 0.068 0.302  -0.06
U: 0.500 0.500 0.500  1.41
Pd: 0.356 0.356 0.937  -0.05
Pt: 0.000 0.000 0.000  -0.07
Pd: 0.932 0.437 0.698  -0.06
Pd: 0.644 0.644 0.063  -0.05
Pd: 0.437 0.932 0.698  -0.06

=====

The following is a DFT calculation (PBE) of an optimized crystal structure of CaCo2Sn8.

## Properties
As for the formation energy: -15 meV/atom.

Unit cell a=6.302 b=6.302 c=7.770 alpha=90.00 beta=90.00 gamma=90.00
Atoms (fractional coordinates):
Sn: 0.247 0.753 0.805
Sn: 0.753 0.753 0.195
Sn: 0.753 0.753 0.805
Co: 0.000 0.500 0.000
Sn: 0.247 0.247 0.195
Sn: 0.753 0.247 0.805
Sn: 0.753 0.247 0.195
Sn: 0.247 0.247 0.805
Ca: 0.500 0.500 0.500
Sn: 0.247 0.753 0.195
Co: 0.500 0.000 0.000

=====

The following is a DFT calculation (PBE) of an optimized crystal structure of SmTm2Ag3S6.

## Properties
As for the formation energy (no corrections): -1295 meV per atom.

Unit cell a=4.037 b=9.559 c=8.009 alpha=105.93 beta=104.60 gamma=90.00
Atoms (fractional coordinates):
S: 0.010 0.801 0.019
Tm: 0.167 0.337 0.334
Ag: 0.174 0.939 0.347
S: 0.687 0.149 0.373
S: 0.342 0.483 0.685
Tm: 0.833 0.663 0.666
Sm: 0.500 0.000 0.000
Ag: 0.826 0.061 0.653
S: 0.313 0.851 0.627
Ag: 0.500 0.500 0.000
S: 0.990 0.199 0.981
S: 0.658 0.517 0.315

=====

The following is a DFT calculation (PBE) of an optimized crystal structure of ZnGe2Pt2.

## Properties
As for the formation energy: -137 meV/atom. The relative energy among the computed polymorphs is 223 meV/atom.

Unit cell a=4.525 b=4.525 c=5.556 alpha=65.97 beta=65.97 gamma=90.00
Atoms (fractional coordinates):
Pt: 0.250 0.750 0.500
Pt: 0.750 0.250 0.500
Ge: 0.633 0.633 0.734
Zn: 0.000 0.000 0.000
Ge: 0.367 0.367 0.266

=====

The following is a DFT calculation (PBE) of an optimized crystal structure of Si2P.

## Properties
The relative energy among the computed polymorphs is 372 meV/atom. As for the formation energy (no corrections): 376 meV per atom.

Unit cell a=5.865 b=5.865 c=5.865 alpha=90.00 beta=90.00 gamma=90.00
Atoms (fractional coordinates):
Si: 0.381 0.381 0.619
Si: 0.381 0.119 0.119
P: 0.000 0.000 0.000
P: 0.500 0.000 0.500
Si: 0.119 0.881 0.619
Si: 0.881 0.381 0.881
P: 0.000 0.500 0.500
P: 0.500 0.500 0.000
Si: 0.619 0.619 0.381
Si: 0.119 0.619 0.119
Si: 0.881 0.119 0.381
Si: 0.619 0.881 0.881

=====

The following is a DFT calculation (PBE) of an optimized crystal structure of Pr6Bi3SbSe2.

## Properties
As for the formation energy (no corrections): -1288 meV per atom.

Unit cell a=7.813 b=7.813 c=7.808 alpha=99.60 beta=99.60 gamma=120.02
Atoms (fractional coordinates):
Bi: 0.500 0.500 0.500
Pr: 0.582 0.920 0.760
Bi: 0.837 0.163 0.500
Sb: 0.000 0.000 0.000
Pr: 0.080 0.418 0.240
Se: 0.667 0.333 0.000
Pr: 0.261 0.261 0.765
Se: 0.333 0.667 0.000
Pr: 0.739 0.739 0.235
Bi: 0.163 0.837 0.500
Pr: 0.920 0.582 0.760
Pr: 0.418 0.080 0.240

=====

The following is a DFT calculation (PBE) of an optimized crystal structure of InIr2Cl.

## Properties
The relative energy among the computed polymorphs is 648 meV/atom. As for the formation energy (no corrections): 822 meV per atom.

Unit cell a=4.577 b=4.577 c=4.577 alpha=60.00 beta=60.00 gamma=60.00
Atoms (fractional coordinates):
In: 0.500 0.500 0.500
Ir: 0.250 0.250 0.250
Ir: 0.750 0.750 0.750
Cl: 0.000 0.000 0.000

=====

The following is a DFT calculation (PBE) of an optimized crystal structure of Ce2Ti3O8.

## Properties
As for the formation energy (no corrections): -2989 meV per atom.

Unit cell a=3.923 b=3.923 c=12.246 alpha=90.00 beta=90.00 gamma=90.00
Site moments in Bohr magnetons follow the coordinates.
Atoms (fractional coordinates):
Ti: 0.500 0.500 0.312  0.27
Ti: 0.500 0.500 0.688  0.27
O: 0.000 0.500 0.688  -0.01
Ce: 0.000 0.000 0.175  1.01
O: 0.500 0.000 0.312  -0.01
O: 0.000 0.500 0.312  -0.01
O: 0.500 0.500 0.840  -0.01
O: 0.500 0.000 0.000  -0.01
O: 0.500 0.000 0.688  -0.01
O: 0.000 0.500 0.000  -0.01
Ti: 0.500 0.500 0.000  0.12
Ce: 0.000 0.000 0.825  1.01
O: 0.500 0.500 0.160  -0.01

=====

The following is a DFT calculation (PBE) of an optimized crystal structure of Pm4Pr3Er5.

## Properties
As for the formation energy: 222 meV/atom. The relative energy among the computed polymorphs is 204 meV/atom.

Unit cell a=5.997 b=8.600 c=9.750 alpha=105.48 beta=72.09 gamma=69.59
Atoms (fractional coordinates):
Er: 0.626 0.944 0.803
Pr: 0.475 0.313 0.736
Er: 0.786 0.543 0.884
Er: 0.500 0.500 0.500
Pr: 0.525 0.687 0.264
Pm: 0.173 0.036 0.618
Pr: 0.000 0.500 0.500
Pm: 0.138 0.777 0.947
Pm: 0.862 0.223 0.053
Er: 0.214 0.457 0.116
Er: 0.374 0.056 0.197
Pm: 0.827 0.964 0.382

=====

The following is a DFT calculation (PBE) of an optimized crystal structure of TaFe3.

## Properties
As for the formation energy: 7 meV/atom.

Unit cell a=2.649 b=4.074 c=4.969 alpha=90.00 beta=78.20 gamma=90.00
Site moments in Bohr magnetons follow the coordinates.
Atoms (fractional coordinates):
Fe: 0.008 0.000 0.016  2.12
Fe: 0.492 0.000 0.484  2.12
Fe: 0.250 0.500 0.250  2.17
Ta: 0.750 0.500 0.750  -0.41

=====

The following is a DFT calculation (PBE) of an optimized crystal structure of SrMnZn2.

## Properties
As for the formation energy: 71 meV/atom.

Unit cell a=3.371 b=3.435 c=7.941 alpha=64.29 beta=90.00 gamma=90.00
Site moments in Bohr magnetons follow the coordinates.
Atoms (fractional coordinates):
Sr: 0.500 0.750 0.750  -0.01
Zn: 0.000 0.568 0.432  -0.06
Zn: 0.000 0.932 0.068  -0.06
Mn: 0.500 0.250 0.250  3.64